Computed, not measured: a PBEsol-optimized structure of LaMgScAl2 at the SCAN level of DFT.

Computed properties:
The calculation puts the energy relative to the elements at 0.3227 eV per atom. For the total magnetization, the calculation gives 0.00 μB per formula unit.

```
LaMgScAl2
1.0
5.111 0.000 0.000
0.000 5.111 0.000
0.000 0.000 5.158
Sc Mg Al La
1 1 2 1
Direct
0.000 0.000 0.000
0.000 0.000 0.500
0.000 0.500 0.000
0.500 0.000 0.000
0.500 0.500 0.500
```


Computed, not measured: a PBEsol-optimized structure of LaMn3Al at the SCAN level of DFT.

Computed properties:
The calculation puts the energy relative to the elements at 1.4970 eV per atom. For the total magnetization, the calculation gives 8.92 μB per formula unit.

```
LaMn3Al
1.0
4.583 0.000 0.000
0.000 4.583 0.000
0.000 0.000 4.583
Al La Mn
1 1 3
Direct
0.500 0.500 0.500
0.000 0.000 0.000
0.000 0.000 0.500
0.000 0.500 0.000
0.500 0.000 0.000
```


Computed, not measured: a PBEsol-optimized structure of LaMnAl at the SCAN level of DFT.

Computed properties:
The calculation puts the energy relative to the elements at -0.1762 eV per atom. For the total magnetization, the calculation gives 3.20 μB per formula unit.

```
LaMnAl
1.0
3.179 0.000 0.000
0.000 3.179 0.000
-1.589 -1.589 5.941
Mn La Al
1 1 1
Direct
0.642 0.642 0.284
0.324 0.324 0.647
0.034 0.034 0.068
```


Computed, not measured: a PBEsol-optimized structure of LaMnAl2 at the SCAN level of DFT.

Computed properties:
The calculation puts the energy relative to the elements at 0.0142 eV per atom. For the total magnetization, the calculation gives 3.63 μB per formula unit.

```
LaMnAl2
1.0
4.770 0.000 0.000
0.000 4.770 0.000
-2.385 -2.385 8.638
Al Mn La
4 2 2
Direct
0.556 0.875 0.250
0.625 0.444 0.750
0.694 0.375 0.250
0.125 0.306 0.750
0.500 0.500 0.000
0.750 0.250 0.500
0.250 0.750 0.500
0.000 0.000 0.000
```


Computed, not measured: a PBEsol-optimized structure of La3MnAl at the SCAN level of DFT.

Computed properties:
The calculation puts the energy relative to the elements at 0.4115 eV per atom. For the total magnetization, the calculation gives 6.40 μB per formula unit.

```
La3MnAl
1.0
-2.744 -0.963 4.887
2.501 -5.091 0.401
4.307 2.343 2.880
La Mn Al
3 1 1
Direct
0.000 0.000 0.500
0.500 0.000 0.000
0.000 0.500 0.000
0.500 0.500 0.500
0.000 0.000 0.000
```


Computed, not measured: a PBEsol-optimized structure of LaMnAl2 at the SCAN level of DFT.

Computed properties:
The calculation puts the energy relative to the elements at -0.2285 eV per atom. For the total magnetization, the calculation gives 1.73 μB per formula unit.

```
LaMnAl2
1.0
3.049 0.000 0.000
0.000 3.049 0.000
0.000 0.000 7.643
La Al Mn
1 2 1
Direct
0.500 0.500 0.000
0.000 0.000 0.325
0.000 0.000 0.675
0.500 0.500 0.500
```


Computed, not measured: a PBEsol-optimized structure of LaMnAlNi3 at the SCAN level of DFT.

Computed properties:
The calculation puts the energy relative to the elements at -0.4446 eV per atom. For the total magnetization, the calculation gives 3.89 μB per formula unit.

```
LaMnAlNi3
1.0
-2.751 -1.858 1.957
2.430 -4.490 -0.847
1.113 2.790 4.215
Mn Ni Al La
1 3 1 1
Direct
0.000 0.333 0.667
0.500 0.499 0.997
0.500 0.499 0.501
0.500 0.003 0.501
0.000 0.667 0.333
0.000 0.000 0.000
```


Computed, not measured: a PBEsol-optimized structure of La2AlMo at the SCAN level of DFT.

Computed properties:
The calculation puts the energy relative to the elements at 0.3150 eV per atom. For the total magnetization, the calculation gives 0.00 μB per formula unit.

```
La2AlMo
1.0
3.480 0.000 0.000
1.740 3.014 0.000
1.740 1.005 9.113
Mo Al La
1 1 2
Direct
0.509 0.509 0.474
0.235 0.235 0.296
0.991 0.991 0.028
0.766 0.766 0.702
```


Computed, not measured: a PBEsol-optimized structure of La2AlMo at the SCAN level of DFT.

Computed properties:
The calculation puts the energy relative to the elements at 0.1157 eV per atom. For the total magnetization, the calculation gives 0.00 μB per formula unit.

```
La2AlMo
1.0
-2.444 -3.006 0.283
0.077 -0.530 -4.958
4.972 -1.276 2.722
La Mo Al
2 1 1
Direct
0.233 0.733 0.466
0.015 0.015 0.030
0.463 0.463 0.927
0.789 0.289 0.578
```


Computed, not measured: a PBEsol-optimized structure of LaAl2Mo at the SCAN level of DFT.

Computed properties:
The calculation puts the energy relative to the elements at 0.2309 eV per atom. For the total magnetization, the calculation gives 0.00 μB per formula unit.

```
LaAl2Mo
1.0
-2.567 1.351 0.824
-0.458 -3.624 3.709
2.903 3.938 1.780
La Mo Al
1 1 2
Direct
0.500 0.500 0.500
0.500 0.000 0.000
0.000 0.500 0.000
0.000 0.000 0.500
```


Computed, not measured: a PBEsol-optimized structure of LaAlMo at the SCAN level of DFT.

Computed properties:
The calculation puts the energy relative to the elements at 1.2487 eV per atom. For the total magnetization, the calculation gives 3.59 μB per formula unit.

```
LaAlMo
1.0
-0.173 4.674 -1.038
-4.043 2.466 0.722
-0.238 3.230 3.530
Mo La Al
1 1 1
Direct
0.000 0.000 0.000
0.250 0.250 0.250
0.500 0.500 0.500
```


Computed, not measured: a PBEsol-optimized structure of LaAl3Mo at the SCAN level of DFT.

Computed properties:
The calculation puts the energy relative to the elements at -0.1952 eV per atom. For the total magnetization, the calculation gives 0.00 μB per formula unit.

```
LaAl3Mo
1.0
4.817 0.000 0.000
0.000 4.817 0.000
0.000 0.000 4.817
Al La Mo
3 1 1
Direct
0.000 0.500 0.000
0.500 0.000 0.000
0.000 0.000 0.500
0.500 0.500 0.500
0.000 0.000 0.000
```


> Which formula does entry 8 have?

La2AlMo


> Among the records above, which one has the lowest energy relative to the elements?

LaMnAlNi3


> Among the records above, which one has the highest energy relative to the elements?

LaMn3Al